This record from Alexandria via LeMat-Bulk describes an optimized crystal structure of K2PtC4N4Cl2. The functional is PBE-GGA.

Structure (POSCAR):
```
K2PtC4N4Cl2
1.0
-6.759 -0.400 -6.564
-2.477 -6.110 2.923
-5.906 2.306 5.941
K Pt C N Cl
4 2 8 8 4
Direct
0.218 0.508 0.377
0.718 0.492 0.123
0.782 0.492 0.623
0.282 0.508 0.877
0.000 0.000 0.000
0.500 0.000 0.500
0.042 0.202 0.113
0.542 0.798 0.387
0.958 0.798 0.887
0.458 0.202 0.613
0.051 0.195 0.790
0.551 0.805 0.710
0.949 0.805 0.210
0.449 0.195 0.290
0.067 0.325 0.173
0.567 0.675 0.327
0.933 0.675 0.827
0.433 0.325 0.673
0.079 0.315 0.672
0.579 0.685 0.828
0.921 0.685 0.328
0.421 0.315 0.172
0.762 0.113 0.963
0.262 0.887 0.537
0.238 0.887 0.037
0.738 0.113 0.463
```

Summary:
**Volume**: 566.28 Å³ per cell
**Density**: 2.63 g cm⁻³
**M_tot**: 0.00 Bohr magnetons per cell
**Electronic total energy**: -6.555 eV/atom
**Formation energy (no corrections)**: -237 meV per atom